Computed, not measured: crystalline Cu2Te4Se at its relaxed geometry at the PBE level of DFT.

Lattice parameters (Å, degrees): 7.970 8.043 8.060 64.12 62.98 62.53
Element x y z (fractional)
Cu (0.000, 0.000, 0.000)
Cu (0.008, 0.462, 0.542)
Cu (0.072, 0.463, 0.016)
Cu (0.513, 0.539, 0.086)
Te (0.222, 0.236, 0.786)
Te (0.271, 0.763, 0.325)
Te (0.278, 0.703, 0.870)
Te (0.283, 0.318, 0.252)
Te (0.765, 0.232, 0.767)
Te (0.815, 0.649, 0.811)
Te (0.819, 0.261, 0.195)
Te (0.857, 0.713, 0.256)
Se (0.441, 0.887, 0.436)
Se (0.650, 0.079, 0.625)

Properties
As for the raw total energy: -3.397 eV per atom. As for the density: 6.08 g cm⁻³. The space group is P1, No. 1.

Computed, not measured: crystalline CuTe2Se at its relaxed geometry at the PBE level of DFT.

Lattice parameters (Å, degrees): 8.363 8.363 8.363 27.88 27.88 27.88
Element x y z (fractional)
Cu (0.000, 0.000, 0.000)
Te (0.390, 0.390, 0.390)
Te (0.610, 0.610, 0.610)
Se (0.500, 0.500, 0.500)

Properties
As for the raw total energy: -3.343 eV per atom. As for the density: 5.85 g cm⁻³. The space group is R-3m, No. 166.

Computed, not measured: crystalline CuTeSe at its relaxed geometry at the PBE level of DFT.

Lattice parameters (Å, degrees): 6.409 6.409 6.409 90.00 90.00 90.00
Element x y z (fractional)
Cu (0.012, 0.012, 0.012)
Cu (0.488, 0.988, 0.512)
Cu (0.512, 0.488, 0.988)
Cu (0.988, 0.512, 0.488)
Te (0.121, 0.621, 0.879)
Te (0.379, 0.379, 0.379)
Te (0.621, 0.879, 0.121)
Te (0.879, 0.121, 0.621)
Se (0.114, 0.886, 0.386)
Se (0.386, 0.114, 0.886)
Se (0.614, 0.614, 0.614)
Se (0.886, 0.386, 0.114)

Properties
As for the raw total energy: -3.615 eV per atom. As for the density: 6.81 g cm⁻³. The space group is P2_13, No. 198.

Computed, not measured: crystalline CuTe2Se at its relaxed geometry at the PBE level of DFT.

Lattice parameters (Å, degrees): 5.034 5.034 3.987 90.00 90.00 107.97
Element x y z (fractional)
Cu (0.000, 0.000, 0.000)
Te (0.219, 0.781, 0.500)
Te (0.781, 0.219, 0.500)
Se (0.500, 0.500, 0.000)

Properties
As for the raw total energy: -3.385 eV per atom. As for the density: 6.87 g cm⁻³. The space group is Cmmm, No. 65.